Computed, not measured: GaFeNiW after structural relaxation at the PBE-GGA level of DFT.

Geometry as POSCAR:
```
GaFeNiW
1.0
4.185 0.000 0.000
2.093 3.624 0.000
2.093 1.208 3.417
Ga Fe W Ni
1 1 1 1
direct
0.500 0.500 0.500
0.750 0.750 0.750
0.000 0.000 0.000
0.250 0.250 0.250
```

## Properties
crystal system: cubic
uncorrected energy: -7.554 eV/atom
mass density: 11.8 g/cm³
space group: No. 216
DOS(E_F): 0.908 states/eV per atom